A | LiSmRh: optimized geometry, PBE.

The space group is Pmma (No. 51) and the conventional cell measures 4.4727, 3.5700 and 8.6219 Å, with angles of 90.00, 90.00 and 90.00 degrees. The inequivalent atoms are Li at (0.2500, 0.0000, 0.0969), Sm at (0.2500, 0.5000, 0.6718) and Rh at (0.2500, 0.0000, 0.3905).

The total magnetization comes out at 0.00 μB per formula unit. The crystal system is orthorhombic. The density of states at the Fermi level comes out at 0.274 states/eV/atom.



B | LiSmRh: optimized geometry, PBE.

The space group is P-6m2 (No. 187) and the conventional cell measures 4.3631, 4.3631 and 3.5797 Å, with angles of 90.00, 90.00 and 120.00 degrees. The inequivalent atoms are Li at (0.0000, 0.0000, 0.0000), Sm at (0.6667, 0.3333, 0.5000) and Rh at (0.3333, 0.6667, 0.0000).

The total magnetization comes out at 0.00 μB per formula unit. The crystal system is hexagonal. The density of states at the Fermi level comes out at 0.304 states/eV/atom.



Of them, B has the lowest stability.



A | LiSmRh: optimized geometry, PBE.

The space group is P-62m (No. 189) and the conventional cell measures 7.1374, 7.1374 and 4.0448 Å, with angles of 90.00, 90.00 and 120.00 degrees. The inequivalent atoms are Li at (0.0000, 0.2338, 0.0000), Sm at (0.0000, 0.5914, 0.5000), Rh at (0.0000, 0.0000, 0.5000) and Rh at (0.3333, 0.6667, 0.0000).

The total magnetization comes out at 0.00 μB per formula unit. The crystal system is hexagonal. The density of states at the Fermi level comes out at 0.489 states/eV/atom.



B | LiSmRh: optimized geometry, PBE.

The space group is I4mm (No. 107) and the conventional cell measures 3.5422, 3.5422 and 9.3617 Å, with angles of 90.00, 90.00 and 90.00 degrees. The inequivalent atoms are Li at (0.0000, 0.0000, 0.0000), Sm at (0.0000, 0.0000, 0.7049) and Rh at (0.0000, 0.0000, 0.3677).

The total magnetization comes out at 0.00 μB per formula unit. The crystal system is tetragonal. The density of states at the Fermi level comes out at 0.799 states/eV/atom.



Of them, B has the lowest stability.



A | LiSm3Rh: optimized geometry, PBE.

The space group is C2/m (No. 12) and the conventional cell measures 10.2108, 6.4987 and 9.5383 Å, with angles of 90.00, 122.24 and 90.00 degrees. The inequivalent atoms are Li at (0.0000, 0.1901, 0.0000), Sm at (0.0732, 0.5000, 0.7784), Sm at (0.1976, 0.0000, 0.3966), Sm at (0.2061, 0.0000, 0.7811) and Rh at (0.0000, 0.2489, 0.5000).

The total magnetization comes out at 0.00 μB per formula unit. The crystal system is monoclinic. The density of states at the Fermi level comes out at 1.011 states/eV/atom.



B | LiSm3Rh: optimized geometry, PBE.

The space group is Pm-3m (No. 221) and the conventional cell measures 5.5086, 5.5086 and 5.5086 Å, with angles of 90.00, 90.00 and 90.00 degrees. The inequivalent atoms are Li at (0.0000, 0.0000, 0.0000), Sm at (0.0000, 0.5000, 0.5000) and Rh at (0.5000, 0.5000, 0.5000).

The total magnetization comes out at 0.00 μB per formula unit. The crystal system is cubic. The density of states at the Fermi level comes out at 0.675 states/eV/atom.



Of them, B has the lowest stability.



A | LiSn2Rh2: optimized geometry, PBE.

The space group is I4/mmm (No. 139) and the conventional cell measures 4.2751, 4.2751 and 11.6198 Å, with angles of 90.00, 90.00 and 90.00 degrees. The inequivalent atoms are Li at (0.0000, 0.0000, 0.0000), Sn at (0.0000, 0.0000, 0.3771) and Rh at (0.0000, 0.5000, 0.2500).

The total magnetization comes out at 0.00 μB per formula unit. The crystal system is tetragonal. The density of states at the Fermi level comes out at 0.421 states/eV/atom.



B | LiSn2Rh2: optimized geometry, PBE.

The space group is P4/mbm (No. 127) and the conventional cell measures 7.6311, 7.6311 and 3.0863 Å, with angles of 90.00, 90.00 and 90.00 degrees. The inequivalent atoms are Li at (0.0000, 0.0000, 0.0000), Sn at (0.1577, 0.3423, 0.5000) and Rh at (0.1400, 0.6400, 0.0000).

The total magnetization comes out at 0.00 μB per formula unit. The crystal system is tetragonal. The density of states at the Fermi level comes out at 0.315 states/eV/atom.



C | LiSn2Rh2: optimized geometry, PBE.

The space group is P2_1/m (No. 11) and the conventional cell measures 4.7661, 3.2248 and 12.0147 Å, with angles of 90.00, 90.10 and 90.00 degrees. The inequivalent atoms are Li at (0.2480, 0.2500, 0.2596), Sn at (0.2501, 0.7500, 0.0441), Sn at (0.2512, 0.2500, 0.6400), Rh at (0.2495, 0.7500, 0.4623) and Rh at (0.2495, 0.2500, 0.8596).

The total magnetization comes out at 0.00 μB per formula unit. The crystal system is monoclinic. The density of states at the Fermi level comes out at 0.474 states/eV/atom.



Of them, A has the lowest stability.



A | LiSn5Rh3: optimized geometry, PBE.

The space group is C2/m (No. 12) and the conventional cell measures 11.5400, 9.3818 and 9.2756 Å, with angles of 90.00, 125.03 and 90.00 degrees. The inequivalent atoms are Li at (0.2258, 0.0000, 0.3289), Sn at (0.0000, 0.2724, 0.0000), Sn at (0.0657, 0.2719, 0.3871), Sn at (0.2179, 0.0000, 0.6513), Sn at (0.2328, 0.0000, 0.0157), Rh at (0.0000, 0.0000, 0.0000), Rh at (0.0000, 0.5000, 0.5000), Rh at (0.0043, 0.5000, 0.1732) and Rh at (0.0111, 0.0000, 0.6848).

The total magnetization comes out at 0.00 μB per formula unit. The crystal system is monoclinic. The density of states at the Fermi level comes out at 0.392 states/eV/atom.



B | LiSn5Rh3: optimized geometry, PBE.

The space group is Pbcm (No. 57) and the conventional cell measures 5.4832, 9.8649 and 12.9391 Å, with angles of 90.00, 90.00 and 90.00 degrees. The inequivalent atoms are Li at (0.0926, 0.1090, 0.2500), Sn at (0.1267, 0.6739, 0.6128), Sn at (0.3418, 0.0762, 0.7500), Sn at (0.3660, 0.1268, 0.0635), Rh at (0.1488, 0.5515, 0.0778) and Rh at (0.4062, 0.6946, 0.2500).

The total magnetization comes out at 0.00 μB per formula unit. The crystal system is orthorhombic. The density of states at the Fermi level comes out at 0.332 states/eV/atom.



Of them, A has the lowest stability.



A | SrLiSn2Rh: optimized geometry, PBE.

The space group is I-4m2 (No. 119) and the conventional cell measures 4.6205, 4.6205 and 11.1779 Å, with angles of 90.00, 90.00 and 90.00 degrees. The inequivalent atoms are Sr at (0.0000, 0.0000, 0.0000), Li at (0.0000, 0.5000, 0.7500), Sn at (0.0000, 0.0000, 0.3680) and Rh at (0.0000, 0.5000, 0.2500).

The total magnetization comes out at 0.00 μB per formula unit. The crystal system is tetragonal. The density of states at the Fermi level comes out at 0.641 states/eV/atom.



B | SrLiSn2Rh: optimized geometry, PBE.

The space group is P4/mmm (No. 123) and the conventional cell measures 5.1338, 5.1338 and 4.9098 Å, with angles of 90.00, 90.00 and 90.00 degrees. The inequivalent atoms are Sr at (0.0000, 0.0000, 0.0000), Li at (0.5000, 0.5000, 0.0000), Sn at (0.0000, 0.5000, 0.5000) and Rh at (0.5000, 0.5000, 0.5000).

The total magnetization comes out at 0.00 μB per formula unit. The crystal system is tetragonal. The density of states at the Fermi level comes out at 0.522 states/eV/atom.



Of them, B has the lowest stability.